The following is a DFT calculation (PBE) of an optimized crystal structure of Nb2AlTl.

extended XYZ file:
```
8
Lattice="-0.273 3.552 -1.840 -0.474 -1.860 -3.520 -10.485 0.790 -1.289" Properties=species:S:1:pos:R:3 pbc="T T T"
Tl 0.000 0.000 0.000
Tl -5.566 2.594 -2.905
Nb -2.848 2.149 -1.894
Nb -2.954 -0.486 -2.771
Nb -8.148 1.208 -3.013
Nb -8.512 2.092 -5.622
Al -0.373 0.846 -2.680
Al -5.666 -0.112 -3.745
```

Properties
* theoretical density: 8.44 g cm⁻³
* energy of formation from the pure elements: 11.35 kcal/mol of atoms
* D(E_F): 4.0 states/eV/cell
* total DFT energy (no corrections): -6.07 eV per atom

***

The following is a DFT calculation (PBE) of an optimized crystal structure of NbAlTl2.

extended XYZ file:
```
8
Lattice="-4.056 1.406 6.598 4.939 -4.625 4.022 2.150 0.701 5.869" Properties=species:S:1:pos:R:3 pbc="T T T"
Tl -1.329 0.458 6.010
Tl 3.066 -2.522 4.889
Tl 2.006 -0.740 8.435
Tl 2.323 -2.233 13.643
Nb 0.000 0.000 0.000
Nb -0.732 0.248 8.888
Al 0.441 -1.610 5.310
Al 3.766 -2.767 7.600
```

Properties
* theoretical density: 9.68 g cm⁻³
* energy of formation from the pure elements: 14.81 kcal/mol of atoms
* energy above the most stable polymorph in this dataset: 0 meV per atom
* D(E_F): 4.4 states/eV/cell
* total DFT energy (no corrections): -3.99 eV per atom

***

The following is a DFT calculation (PBE) of an optimized crystal structure of NbAlTl2.

extended XYZ file:
```
4
Lattice="-1.179 -4.562 -1.771 -4.413 -2.102 1.200 -3.587 -0.492 -3.497" Properties=species:S:1:pos:R:3 pbc="T T T"
Tl -2.295 -1.789 -1.017
Tl -6.885 -5.367 -3.051
Nb -4.590 -3.578 -2.034
Al 0.000 0.000 0.000
```

Properties
* theoretical density: 9.73 g cm⁻³
* energy of formation from the pure elements: 16.12 kcal/mol of atoms
* energy above the most stable polymorph in this dataset: 57 meV per atom
* D(E_F): 3.9 states/eV/cell
* total DFT energy (no corrections): -3.94 eV per atom

***

The following is a DFT calculation (PBE) of an optimized crystal structure of Nb3AlTl.

extended XYZ file:
```
5
Lattice="-4.710 0.549 -0.445 -0.707 -3.567 3.075 0.021 3.107 3.609" Properties=species:S:1:pos:R:3 pbc="T T T"
Tl -2.698 0.044 3.120
Nb -0.353 -1.784 1.538
Nb 0.011 1.554 1.805
Nb -2.355 0.275 -0.223
Al 0.000 0.000 0.000
```

Properties
* theoretical density: 7.84 g cm⁻³
* energy of formation from the pure elements: 22.95 kcal/mol of atoms
* energy above the most stable polymorph in this dataset: 0 meV per atom
* D(E_F): 8.7 states/eV/cell
* total DFT energy (no corrections): -6.27 eV per atom

***

The following is a DFT calculation (PBE) of an optimized crystal structure of NbAl3Tl.

extended XYZ file:
```
5
Lattice="-3.767 -0.272 -3.473 3.067 -2.685 -3.116 -1.652 -4.364 2.133" Properties=species:S:1:pos:R:3 pbc="T T T"
Tl -1.176 -3.660 -2.228
Nb 0.000 0.000 0.000
Al 1.533 -1.342 -1.558
Al -0.826 -2.182 1.067
Al -1.883 -0.136 -1.737
```

Properties
* theoretical density: 4.65 g cm⁻³
* energy of formation from the pure elements: 14.29 kcal/mol of atoms
* energy above the most stable polymorph in this dataset: 0 meV per atom
* D(E_F): 3.3 states/eV/cell
* total DFT energy (no corrections): -4.11 eV per atom

***

The following is a DFT calculation (PBE) of an optimized crystal structure of NbAl2Tl2.

extended XYZ file:
```
5
Lattice="-0.356 3.501 -1.903 -2.962 -1.511 -2.224 -6.552 3.220 2.943" Properties=species:S:1:pos:R:3 pbc="T T T"
Tl -4.284 3.858 -0.512
Tl -5.587 1.352 -0.673
Nb 0.000 0.000 0.000
Al -2.476 1.366 -1.228
Al -7.395 3.844 0.043
```

Properties
* theoretical density: 7.85 g cm⁻³
* energy of formation from the pure elements: 15.71 kcal/mol of atoms
* energy above the most stable polymorph in this dataset: 266 meV per atom
* D(E_F): 2.9 states/eV/cell
* total DFT energy (no corrections): -3.78 eV per atom

***

The following is a DFT calculation (PBE) of an optimized crystal structure of NbAl2TlZn.

extended XYZ file:
```
5
Lattice="5.092 0.000 0.000 0.000 5.092 0.000 0.000 0.000 5.537" Properties=species:S:1:pos:R:3 pbc="T T T"
Zn 2.546 2.546 2.769
Tl 0.000 0.000 2.769
Nb 0.000 0.000 0.000
Al 0.000 2.546 0.000
Al 2.546 0.000 0.000
```

Properties
* theoretical density: 4.82 g cm⁻³
* energy of formation from the pure elements: 20.34 kcal/mol of atoms
* D(E_F): 5.3 states/eV/cell
* total DFT energy (no corrections): -3.36 eV per atom

***

The following is a DFT calculation (PBE) of an optimized crystal structure of Tm3NbAl8.

extended XYZ file:
```
12
Lattice="-4.911 0.437 -2.219 -2.308 -4.302 -2.325 -6.100 -3.489 6.226" Properties=species:S:1:pos:R:3 pbc="T T T"
Tm -8.043 -4.501 3.740
Tm -7.239 -3.876 -4.504
Tm -6.648 -3.670 0.818
Nb -8.601 -4.688 -1.648
Al -6.779 -2.145 -1.876
Al -8.486 -6.221 1.074
Al -4.331 -2.362 -0.770
Al -10.931 -6.004 -0.031
Al -4.020 -2.250 1.867
Al -10.686 -5.931 2.721
Al -5.482 -4.506 -1.929
Al -9.781 -3.863 1.126
```

Properties
* theoretical density: 6.04 g cm⁻³
* energy of formation from the pure elements: -10.08 kcal/mol of atoms
* D(E_F): 4.5 states/eV/cell
* total DFT energy (no corrections): -4.89 eV per atom

***

The following is a DFT calculation (PBE) of an optimized crystal structure of TmNbAl2.

extended XYZ file:
```
4
Lattice="-0.012 0.134 -3.071 0.247 -2.581 -1.652 -9.667 -1.746 -1.577" Properties=species:S:1:pos:R:3 pbc="T T T"
Nb 0.000 0.000 0.000
Tm -4.716 -2.097 -3.150
Al -7.274 -3.164 -4.726
Al -2.158 -1.029 -1.575
```

Properties
* theoretical density: 6.54 g cm⁻³
* energy of formation from the pure elements: -0.77 kcal/mol of atoms
* energy above the most stable polymorph in this dataset: 233 meV per atom
* D(E_F): 3.5 states/eV/cell
* total DFT energy (no corrections): -5.54 eV per atom

***

The following is a DFT calculation (PBE) of an optimized crystal structure of TmNbAl2.

extended XYZ file:
```
4
Lattice="3.522 0.000 0.000 0.000 3.522 0.000 0.000 0.000 6.288" Properties=species:S:1:pos:R:3 pbc="T T T"
Nb 1.761 1.761 0.000
Tm 1.761 1.761 3.144
Al 0.000 0.000 4.981
Al 0.000 0.000 1.307
```

Properties
* theoretical density: 6.72 g cm⁻³
* energy of formation from the pure elements: -6.14 kcal/mol of atoms
* energy above the most stable polymorph in this dataset: 0 meV per atom
* D(E_F): 2.0 states/eV/cell
* total DFT energy (no corrections): -5.77 eV per atom

***

The following is a DFT calculation (PBE) of an optimized crystal structure of TmNbAl4.

extended XYZ file:
```
6
Lattice="5.316 0.000 0.000 2.658 4.604 0.000 2.658 1.535 4.341" Properties=species:S:1:pos:R:3 pbc="T T T"
Nb 0.000 0.000 0.000
Tm 2.658 1.535 1.085
Al 5.316 3.069 0.537
Al 5.316 1.530 2.715
Al 6.650 3.839 2.715
Al 3.983 3.839 2.715
```

Properties
* theoretical density: 5.78 g cm⁻³
* energy of formation from the pure elements: -9.16 kcal/mol of atoms
* D(E_F): 2.1 states/eV/cell
* total DFT energy (no corrections): -5.32 eV per atom

***

The following is a DFT calculation (PBE) of an optimized crystal structure of TmNbAl2.

extended XYZ file:
```
4
Lattice="4.121 0.000 0.000 0.000 4.319 0.000 0.000 0.000 4.319" Properties=species:S:1:pos:R:3 pbc="T T T"
Nb 2.061 2.160 2.160
Tm 2.061 0.000 0.000
Al 0.000 0.000 2.160
Al 0.000 2.160 0.000
```

Properties
* theoretical density: 6.82 g cm⁻³
* energy of formation from the pure elements: -4.40 kcal/mol of atoms
* energy above the most stable polymorph in this dataset: 76 meV per atom
* D(E_F): 2.9 states/eV/cell
* total DFT energy (no corrections): -5.70 eV per atom